PBE AcSnRhN, optimized geometry; DOS(E_F) = 3.69 states/eV per cell; crystal system = tetragonal; formation energy (no corrections) = -2.8 eV per formula unit
1.0
-3.9549 1.3612 -0.5265
-0.9552 -3.5640 -2.0387
-2.4836 -4.0363 8.2199
Ac Sn Rh N
2 2 2 2
Direct
0.0000 0.5000 0.8562 Ac
0.5000 0.0000 0.1438 Ac
0.0000 0.5000 0.3418 Sn
0.5000 0.0000 0.6582 Sn
0.0000 0.0000 0.5000 Rh
0.5000 0.5000 0.5000 Rh
0.5000 0.0000 0.8879 N
0.0000 0.5000 0.1121 N

=====

PBE FeCu2Tc, optimized geometry; DOS(E_F) = 3.51 states/eV per cell; crystal system = monoclinic; distance to the lowest polymorph of the same formula = 55.9 meV/atom
1.0
4.4777 -0.0018 -0.0186
3.7736 2.4103 -0.0186
0.5615 0.1639 4.6747
Cu Fe Tc
2 1 1
Direct
0.0016 0.0016 0.9842 Cu
0.7500 0.7500 0.7611 Cu
0.4967 0.4967 0.4908 Fe
0.2516 0.2516 0.2639 Tc

=====

PBE LiTl2Cl, optimized geometry; DOS(E_F) = 2.07 states/eV per cell; crystal system = cubic; distance to the lowest polymorph of the same formula = 488.2 meV/atom; formation energy (no corrections) = -1.0 eV per formula unit
1.0
0.0000 3.8327 3.8327
3.8327 0.0000 3.8327
3.8327 3.8327 0.0000
Tl Li Cl
2 1 1
Direct
0.2500 0.2500 0.2500 Tl
0.7500 0.7500 0.7500 Tl
0.0000 0.0000 0.0000 Li
0.5000 0.5000 0.5000 Cl

=====

PBE CsYPuO6, optimized geometry; crystal system = trigonal; formation energy (no corrections) = -21.9 eV per formula unit
1.0
-0.8209 -0.1243 -5.8163
-4.6669 -2.7708 -2.2497
-3.4227 5.4682 0.3659
Cs Y Pu O
1 1 1 6
Direct
0.0000 0.0000 0.0000 Cs
0.6666 0.6667 0.5000 Y
0.3333 0.3333 0.5000 Pu
0.0365 0.3729 0.3279 O
0.3728 0.0365 0.6721 O
0.5906 0.3729 0.6721 O
0.0364 0.5907 0.6721 O
0.3729 0.5906 0.3278 O
0.5907 0.0364 0.3279 O

=====

PBE Be2TcPb, optimized geometry; DOS(E_F) = 1.97 states/eV per cell; E = -5.014 eV per atom; crystal system = monoclinic
1.0
-4.4340 -0.6369 -0.3997
-2.7552 -3.5039 -0.5977
-1.2226 -1.0110 4.2727
Pb Be Tc
1 2 1
Direct
0.2500 0.2500 0.2500 Pb
0.0358 0.0358 0.8483 Be
0.4642 0.4642 0.6517 Be
0.7500 0.7500 0.7500 Tc

=====

PBE Na2MnSbAs, optimized geometry; DOS(E_F) = 4.05 states/eV per cell; crystal system = tetragonal; formation energy (no corrections) = 2.8 eV per formula unit
1.0
-4.0643 -3.5486 -0.4413
1.0281 -1.7327 4.4644
-3.3906 3.6119 2.1826
Sb As Mn Na
1 1 1 2
Direct
0.0000 0.5000 0.0000 Sb
0.5000 0.5000 0.5000 As
0.0000 0.0000 0.0000 Mn
0.0000 0.0000 0.5000 Na
0.5000 0.0000 0.0000 Na

=====

PBE CaPr2PuP4, optimized geometry; DOS(E_F) = 12.39 states/eV per cell; E = -7.197 eV per atom; crystal system = monoclinic
1.0
4.1480 0.0000 0.0000
0.0000 7.1318 0.1364
0.0000 -2.4804 6.6749
Ca Pr Pu P
1 2 1 4
Direct
0.5000 0.5000 0.0000 Ca
0.5000 0.0000 0.5000 Pr
0.0000 0.5000 0.5000 Pr
0.0000 0.0000 0.0000 Pu
0.5000 0.2362 0.2361 P
0.5000 0.7638 0.7639 P
0.0000 0.2404 0.7597 P
0.0000 0.7596 0.2403 P

=====

PBE RhWS2, optimized geometry; DOS(E_F) = 2.82 states/eV per cell; crystal system = trigonal; distance to the lowest polymorph of the same formula = 0.0 meV/atom; formation energy (no corrections) = -1.1 eV per formula unit
1.0
1.7834 0.0000 7.7912
-0.8917 1.5445 7.7912
-0.8917 -1.5445 7.7912
S Rh W
2 1 1
Direct
0.9036 0.9036 0.9036 S
0.0964 0.0964 0.0964 S
0.0000 0.0000 0.0000 Rh
0.5000 0.5000 0.5000 W

=====

PBE K2Y2P3O12, optimized geometry; DOS(E_F) = 54.66 states/eV per cell; crystal system = cubic; formation energy (no corrections) = -50.3 eV per formula unit
1.0
10.7355 0.0000 0.0000
0.0000 10.7355 0.0000
0.0000 0.0000 10.7355
K Y P O
8 8 12 48
Direct
0.8181 0.8181 0.8181 K
0.6819 0.1819 0.3181 K
0.1819 0.3181 0.6819 K
0.3181 0.6819 0.1819 K
0.0570 0.0570 0.0570 K
0.4430 0.9430 0.5570 K
0.9430 0.5570 0.4430 K
0.5570 0.4430 0.9430 K
0.3336 0.3336 0.3336 Y
0.1664 0.6664 0.8336 Y
0.6664 0.8336 0.1664 Y
0.8336 0.1664 0.6664 Y
0.5998 0.5998 0.5998 Y
0.9002 0.4002 0.0998 Y
0.4002 0.0998 0.9002 Y
0.0998 0.9002 0.4002 Y
0.0157 0.2190 0.3745 P
0.4843 0.7810 0.8745 P
0.9843 0.7190 0.1255 P
0.3745 0.0157 0.2190 P
0.5157 0.2810 0.6255 P
0.8745 0.4843 0.7810 P
0.1255 0.9843 0.7190 P
0.6255 0.5157 0.2810 P
0.2190 0.3745 0.0157 P
0.7190 0.1255 0.9843 P
0.2810 0.6255 0.5157 P
0.7810 0.8745 0.4843 P
0.2777 0.5087 0.4317 O
0.2223 0.4913 0.9317 O
0.7223 0.0087 0.0683 O
0.4317 0.2777 0.5087 O
0.7777 0.9913 0.5683 O
0.9317 0.2223 0.4913 O
0.0683 0.7223 0.0087 O
0.5683 0.7777 0.9913 O
0.5087 0.4317 0.2777 O
0.0087 0.0683 0.7223 O
0.9913 0.5683 0.7777 O
0.4913 0.9317 0.2223 O
0.0239 0.0838 0.3241 O
0.4761 0.9162 0.8241 O
0.9761 0.5838 0.1759 O
0.3241 0.0239 0.0838 O
0.5239 0.4162 0.6759 O
0.8241 0.4761 0.9162 O
0.1759 0.9761 0.5838 O
0.6759 0.5239 0.4162 O
0.0838 0.3241 0.0239 O
0.5838 0.1759 0.9761 O
0.4162 0.6759 0.5239 O
0.9162 0.8241 0.4761 O
0.0456 0.8053 0.2231 O
0.4544 0.1947 0.7231 O
0.9544 0.3053 0.2769 O
0.2231 0.0456 0.8053 O
0.5456 0.6947 0.7769 O
0.7231 0.4544 0.1947 O
0.2769 0.9544 0.3053 O
0.7769 0.5456 0.6947 O
0.8053 0.2231 0.0456 O
0.3053 0.2769 0.9544 O
0.6947 0.7769 0.5456 O
0.1947 0.7231 0.4544 O
0.1476 0.2666 0.4074 O
0.3524 0.7334 0.9074 O
0.8524 0.7666 0.0926 O
0.4074 0.1476 0.2666 O
0.6476 0.2334 0.5926 O
0.9074 0.3524 0.7334 O
0.0926 0.8524 0.7666 O
0.5926 0.6476 0.2334 O
0.2666 0.4074 0.1476 O
0.7666 0.0926 0.8524 O
0.2334 0.5926 0.6476 O
0.7334 0.9074 0.3524 O

=====

PBE Sr4In5Ga2, optimized geometry; DOS(E_F) = 7.37 states/eV per cell; E = -2.747 eV per atom; crystal system = monoclinic
1.0
-1.4412 3.6645 -0.1668
-4.6517 -2.1231 -6.4505
-7.1382 -2.4883 7.0122
Sr In Ga
4 5 2
Direct
0.5000 0.7332 0.5568 Sr
0.5000 0.1715 0.8752 Sr
0.5000 0.2668 0.4432 Sr
0.5000 0.8285 0.1248 Sr
0.0000 0.5587 0.2940 In
0.0000 0.1841 0.1612 In
0.0000 0.5000 0.0000 In
0.0000 0.8159 0.8388 In
0.0000 0.4413 0.7060 In
0.0000 0.0538 0.6283 Ga
0.0000 0.9462 0.3717 Ga

=====

PBE NaPmAs2O6, optimized geometry; DOS(E_F) = 1.11 states/eV per cell; crystal system = trigonal; formation energy (no corrections) = -17.5 eV per formula unit
1.0
5.5823 0.0000 0.0000
2.7911 4.8344 0.0000
2.7911 1.6115 5.7302
Na Pm As O
1 1 2 6
Direct
0.0000 0.0000 0.0000 Na
0.5000 0.5000 0.5000 Pm
0.7189 0.7189 0.8433 As
0.2811 0.2811 0.1567 As
0.0537 0.4639 0.7425 O
0.7399 0.0537 0.7425 O
0.5361 0.2601 0.2575 O
0.9463 0.5361 0.2575 O
0.2601 0.9463 0.2575 O
0.4639 0.7399 0.7425 O

=====

PBE CsTa3Co, optimized geometry; DOS(E_F) = 7.13 states/eV per cell; crystal system = cubic; distance to the lowest polymorph of the same formula = 2066.0 meV/atom
1.0
-3.8732 -3.1380 -0.1545
3.0088 -3.7754 1.2514
-0.9044 0.8786 4.8253
Cs Co Ta
1 1 3
Direct
0.0000 0.0000 0.0000 Cs
0.5000 0.5000 0.5000 Co
0.0000 0.5000 0.0000 Ta
0.0000 0.0000 0.5000 Ta
0.5000 0.0000 0.0000 Ta